1.
{"formula": "ReIrRh4", "functional": "PBE-GGA", "state": "relaxed", "relative_energy_ev_per_atom": 0.0000, "total_energy_ev_per_atom": -8.520, "crystal_system": "triclinic", "lattice_angstrom": [[4.720, 0.000, 0.000], [-1.571, 5.895, 0.000], [-0.001, -2.519, 6.186]], "species": ["Re", "Re", "Ir", "Ir", "Rh", "Rh", "Rh", "Rh", "Rh", "Rh", "Rh", "Rh"], "fractional_positions": [[0.205, 0.368, 0.455], [0.795, 0.632, 0.545], [0.038, 0.876, 0.295], [0.962, 0.124, 0.705], [0.120, 0.626, 0.872], [0.289, 0.127, 0.045], [0.374, 0.868, 0.621], [0.463, 0.620, 0.211], [0.537, 0.380, 0.789], [0.626, 0.132, 0.379], [0.711, 0.873, 0.955], [0.880, 0.374, 0.128]]}

=====

2.
{"formula": "ReIr3Rh6", "functional": "PBE-GGA", "state": "relaxed", "total_energy_ev_per_atom": -7.956, "crystal_system": "trigonal", "lattice_angstrom": [[5.060, 0.000, 0.000], [-2.530, 4.382, 0.000], [0.000, 0.000, 6.898]], "species": ["Re", "Ir", "Ir", "Ir", "Rh", "Rh", "Rh", "Rh", "Rh", "Rh"], "fractional_positions": [[0.000, 0.000, 0.000], [0.000, 0.000, 0.500], [0.333, 0.667, 0.500], [0.667, 0.333, 0.500], [0.000, 0.407, 0.810], [0.000, 0.593, 0.190], [0.407, 0.000, 0.810], [0.407, 0.407, 0.190], [0.593, 0.000, 0.190], [0.593, 0.593, 0.810]]}

=====

3.
{"formula": "Re2Ir4Rh", "functional": "PBE-GGA", "state": "relaxed", "total_energy_ev_per_atom": -9.213, "crystal_system": "tetragonal", "lattice_angstrom": [[-3.816, 3.816, 3.845], [3.816, -3.816, 3.845], [3.816, 3.816, -3.845]], "species": ["Re", "Re", "Re", "Re", "Ir", "Ir", "Ir", "Ir", "Ir", "Ir", "Ir", "Ir", "Rh", "Rh"], "fractional_positions": [[0.009, 0.125, 0.384], [0.375, 0.991, 0.116], [0.741, 0.625, 0.616], [0.875, 0.259, 0.884], [0.103, 0.541, 0.744], [0.110, 0.047, 0.756], [0.291, 0.353, 0.244], [0.459, 0.203, 0.562], [0.640, 0.897, 0.438], [0.647, 0.890, 0.938], [0.797, 0.360, 0.256], [0.953, 0.709, 0.062], [0.250, 0.750, 0.500], [0.500, 0.500, 0.000]]}

=====

4.
{"formula": "ReIrRh2", "functional": "PBE-GGA", "state": "relaxed", "relative_energy_ev_per_atom": 0.0697, "total_energy_ev_per_atom": -9.041, "crystal_system": "tetragonal", "lattice_angstrom": [[2.709, 0.000, 0.000], [0.000, 2.709, 0.000], [0.000, 0.000, 7.853]], "species": ["Re", "Ir", "Rh", "Rh"], "fractional_positions": [[0.000, 0.000, 0.000], [0.000, 0.000, 0.500], [0.500, 0.500, 0.248], [0.500, 0.500, 0.752]]}

=====

5.
{"formula": "ReIr2Rh", "functional": "PBE-GGA", "state": "relaxed", "relative_energy_ev_per_atom": 0.5655, "total_energy_ev_per_atom": -8.954, "crystal_system": "cubic", "lattice_angstrom": [[6.203, 0.000, 0.000], [0.000, 6.203, 0.000], [0.000, 0.000, 6.203]], "species": ["Re", "Re", "Re", "Re", "Ir", "Ir", "Ir", "Ir", "Ir", "Ir", "Ir", "Ir", "Rh", "Rh", "Rh", "Rh"], "fractional_positions": [[0.000, 0.000, 0.000], [0.000, 0.500, 0.500], [0.500, 0.000, 0.500], [0.500, 0.500, 0.000], [0.000, 0.000, 0.500], [0.000, 0.500, 0.000], [0.250, 0.250, 0.750], [0.250, 0.750, 0.250], [0.500, 0.000, 0.000], [0.500, 0.500, 0.500], [0.750, 0.250, 0.250], [0.750, 0.750, 0.750], [0.250, 0.250, 0.250], [0.250, 0.750, 0.750], [0.750, 0.250, 0.750], [0.750, 0.750, 0.250]]}

=====

6.
{"formula": "Re2Ir2Rh7", "functional": "PBE-GGA", "state": "relaxed", "total_energy_ev_per_atom": -8.283, "crystal_system": "monoclinic", "lattice_angstrom": [[4.611, -3.936, 0.000], [4.611, 3.936, 0.000], [-0.925, 0.000, 4.665]], "species": ["Re", "Re", "Ir", "Ir", "Rh", "Rh", "Rh", "Rh", "Rh", "Rh", "Rh"], "fractional_positions": [[0.175, 0.825, 0.000], [0.825, 0.175, 0.000], [0.234, 0.234, 0.251], [0.766, 0.766, 0.749], [0.000, 0.000, 0.500], [0.051, 0.408, 0.745], [0.408, 0.051, 0.745], [0.470, 0.470, 0.734], [0.530, 0.530, 0.266], [0.592, 0.949, 0.255], [0.949, 0.592, 0.255]]}

=====

7.
{"formula": "ReIrRh2", "functional": "PBE-GGA", "state": "relaxed", "relative_energy_ev_per_atom": 0.0497, "total_energy_ev_per_atom": -9.061, "crystal_system": "monoclinic", "lattice_angstrom": [[9.083, 0.000, 0.000], [0.000, 2.726, 0.000], [-0.822, 0.000, 4.658]], "species": ["Re", "Re", "Ir", "Ir", "Rh", "Rh", "Rh", "Rh"], "fractional_positions": [[0.000, 0.000, 0.000], [0.500, 0.500, 0.000], [0.000, 0.500, 0.500], [0.500, 0.000, 0.500], [0.249, 0.500, 0.247], [0.251, 0.000, 0.753], [0.749, 0.000, 0.247], [0.751, 0.500, 0.753]]}

=====

8.
{"formula": "ReIr2Rh", "functional": "PBE-GGA", "state": "relaxed", "relative_energy_ev_per_atom": 0.0726, "total_energy_ev_per_atom": -9.447, "crystal_system": "tetragonal", "lattice_angstrom": [[2.724, 0.000, 0.000], [0.000, 2.724, 0.000], [0.000, 0.000, 7.826]], "species": ["Re", "Ir", "Ir", "Rh"], "fractional_positions": [[0.000, 0.000, 0.000], [0.000, 0.000, 0.501], [0.500, 0.500, 0.752], [0.500, 0.500, 0.247]]}

=====

9.
{"formula": "ReIrRh2", "functional": "PBE-GGA", "state": "relaxed", "relative_energy_ev_per_atom": 0.4017, "total_energy_ev_per_atom": -8.709, "crystal_system": "tetragonal", "lattice_angstrom": [[3.310, 0.000, 0.000], [0.000, 3.310, 0.000], [0.000, 0.000, 5.401]], "species": ["Re", "Ir", "Rh", "Rh"], "fractional_positions": [[0.000, 0.000, 0.000], [0.000, 0.000, 0.500], [0.500, 0.500, 0.249], [0.500, 0.500, 0.751]]}

=====

10.
{"formula": "ReIr3Rh3", "functional": "PBE-GGA", "state": "relaxed", "total_energy_ev_per_atom": -8.059, "crystal_system": "hexagonal", "lattice_angstrom": [[11.359, 0.000, 0.000], [-5.680, 9.838, 0.000], [0.000, 0.000, 2.665]], "species": ["Re", "Re", "Ir", "Ir", "Ir", "Ir", "Ir", "Ir", "Rh", "Rh", "Rh", "Rh", "Rh", "Rh"], "fractional_positions": [[0.333, 0.667, 0.250], [0.667, 0.333, 0.750], [0.149, 0.721, 0.250], [0.279, 0.428, 0.250], [0.428, 0.149, 0.750], [0.572, 0.851, 0.250], [0.721, 0.572, 0.750], [0.851, 0.279, 0.750], [0.068, 0.445, 0.250], [0.377, 0.932, 0.250], [0.445, 0.377, 0.750], [0.555, 0.623, 0.250], [0.623, 0.068, 0.750], [0.932, 0.555, 0.750]]}

=====

11.
{"formula": "ReIrRh2", "functional": "PBE-GGA", "state": "relaxed", "relative_energy_ev_per_atom": 0.4956, "total_energy_ev_per_atom": -8.615, "crystal_system": "cubic", "lattice_angstrom": [[6.180, 0.000, 0.000], [0.000, 6.180, 0.000], [0.000, 0.000, 6.180]], "species": ["Re", "Re", "Re", "Re", "Ir", "Ir", "Ir", "Ir", "Rh", "Rh", "Rh", "Rh", "Rh", "Rh", "Rh", "Rh"], "fractional_positions": [[0.000, 0.000, 0.000], [0.000, 0.500, 0.500], [0.500, 0.000, 0.500], [0.500, 0.500, 0.000], [0.000, 0.000, 0.500], [0.000, 0.500, 0.000], [0.500, 0.000, 0.000], [0.500, 0.500, 0.500], [0.250, 0.250, 0.250], [0.250, 0.250, 0.750], [0.250, 0.750, 0.250], [0.250, 0.750, 0.750], [0.750, 0.250, 0.250], [0.750, 0.250, 0.750], [0.750, 0.750, 0.250], [0.750, 0.750, 0.750]]}

=====

12.
{"formula": "ReIr2Rh", "functional": "PBE-GGA", "state": "relaxed", "relative_energy_ev_per_atom": 0.0787, "total_energy_ev_per_atom": -9.441, "crystal_system": "tetragonal", "lattice_angstrom": [[3.884, 0.000, 0.000], [0.000, 3.884, 0.000], [0.000, 0.000, 3.843]], "species": ["Re", "Ir", "Ir", "Rh"], "fractional_positions": [[0.000, 0.000, 0.000], [0.000, 0.500, 0.500], [0.500, 0.000, 0.500], [0.500, 0.500, 0.000]]}

=====

13.
{"formula": "ReIrRh3", "functional": "PBE-GGA", "state": "relaxed", "relative_energy_ev_per_atom": 0.0000, "total_energy_ev_per_atom": -8.405, "crystal_system": "orthorhombic", "lattice_angstrom": [[7.885, 0.000, 0.000], [0.000, 8.720, 0.000], [0.000, 0.000, 4.571]], "species": ["Re", "Re", "Re", "Re", "Ir", "Ir", "Ir", "Ir", "Rh", "Rh", "Rh", "Rh", "Rh", "Rh", "Rh", "Rh", "Rh", "Rh", "Rh", "Rh"], "fractional_positions": [[0.000, 0.000, 0.000], [0.000, 0.500, 0.000], [0.500, 0.000, 0.500], [0.500, 0.500, 0.500], [0.082, 0.250, 0.251], [0.418, 0.750, 0.751], [0.582, 0.250, 0.249], [0.918, 0.750, 0.749], [0.166, 0.555, 0.523], [0.166, 0.945, 0.523], [0.178, 0.750, 0.090], [0.322, 0.250, 0.590], [0.334, 0.055, 0.023], [0.334, 0.445, 0.023], [0.666, 0.555, 0.977], [0.666, 0.945, 0.977], [0.678, 0.750, 0.410], [0.822, 0.250, 0.910], [0.834, 0.055, 0.477], [0.834, 0.445, 0.477]]}

=====

14.
{"formula": "Re2IrRh", "functional": "PBE-GGA", "state": "relaxed", "relative_energy_ev_per_atom": 0.1442, "total_energy_ev_per_atom": -10.364, "crystal_system": "tetragonal", "lattice_angstrom": [[3.921, 0.000, 0.000], [0.000, 3.921, 0.000], [0.000, 0.000, 7.600]], "species": ["Re", "Re", "Re", "Re", "Ir", "Ir", "Rh", "Rh"], "fractional_positions": [[0.000, 0.000, 0.000], [0.000, 0.500, 0.250], [0.500, 0.000, 0.750], [0.500, 0.500, 0.500], [0.000, 0.000, 0.500], [0.500, 0.500, 0.000], [0.000, 0.500, 0.750], [0.500, 0.000, 0.250]]}

=====

15.
{"formula": "ReIr2Rh", "functional": "PBE-GGA", "state": "relaxed", "relative_energy_ev_per_atom": 0.4301, "total_energy_ev_per_atom": -9.089, "crystal_system": "tetragonal", "lattice_angstrom": [[3.325, 0.000, 0.000], [0.000, 3.325, 0.000], [0.000, 0.000, 5.407]], "species": ["Re", "Ir", "Ir", "Rh"], "fractional_positions": [[0.000, 0.000, 0.000], [0.000, 0.000, 0.507], [0.500, 0.500, 0.756], [0.500, 0.500, 0.256]]}

=====

16.
{"formula": "ReIr5Rh2", "functional": "PBE-GGA", "state": "relaxed", "relative_energy_ev_per_atom": 0.0000, "total_energy_ev_per_atom": -9.027, "crystal_system": "tetragonal", "lattice_angstrom": [[3.873, 0.000, 0.000], [0.000, 3.873, 0.000], [0.000, 0.000, 15.461]], "species": ["Re", "Re", "Ir", "Ir", "Ir", "Ir", "Ir", "Ir", "Ir", "Ir", "Ir", "Ir", "Rh", "Rh", "Rh", "Rh"], "fractional_positions": [[0.000, 0.000, 0.000], [0.500, 0.500, 0.500], [0.000, 0.000, 0.500], [0.000, 0.500, 0.122], [0.000, 0.500, 0.378], [0.000, 0.500, 0.622], [0.000, 0.500, 0.878], [0.500, 0.000, 0.122], [0.500, 0.000, 0.378], [0.500, 0.000, 0.622], [0.500, 0.000, 0.878], [0.500, 0.500, 0.000], [0.000, 0.000, 0.254], [0.000, 0.000, 0.746], [0.500, 0.500, 0.246], [0.500, 0.500, 0.754]]}

=====

17.
{"formula": "ReIr2Rh", "functional": "PBE-GGA", "state": "relaxed", "relative_energy_ev_per_atom": 0.0879, "total_energy_ev_per_atom": -9.431, "crystal_system": "trigonal", "lattice_angstrom": [[2.753, 0.000, 0.000], [-1.377, 2.384, 0.000], [0.000, 0.000, 26.679]], "species": ["Re", "Re", "Re", "Ir", "Ir", "Ir", "Ir", "Ir", "Ir", "Rh", "Rh", "Rh"], "fractional_positions": [[0.000, 0.000, 0.000], [0.333, 0.667, 0.667], [0.667, 0.333, 0.333], [0.000, 0.000, 0.251], [0.000, 0.000, 0.749], [0.333, 0.667, 0.415], [0.333, 0.667, 0.918], [0.667, 0.333, 0.082], [0.667, 0.333, 0.585], [0.000, 0.000, 0.500], [0.333, 0.667, 0.167], [0.667, 0.333, 0.833]]}

=====

18.
{"formula": "Re2IrRh", "functional": "PBE-GGA", "state": "relaxed", "relative_energy_ev_per_atom": 0.1365, "total_energy_ev_per_atom": -10.372, "crystal_system": "orthorhombic", "lattice_angstrom": [[5.437, 0.000, 0.000], [0.000, 7.892, 0.000], [0.000, 0.000, 2.718]], "species": ["Re", "Re", "Re", "Re", "Ir", "Ir", "Rh", "Rh"], "fractional_positions": [[0.250, 0.250, 0.000], [0.250, 0.750, 0.000], [0.750, 0.250, 0.000], [0.750, 0.750, 0.000], [0.000, 0.000, 0.500], [0.500, 0.500, 0.500], [0.000, 0.500, 0.500], [0.500, 0.000, 0.500]]}

=====

19.
{"formula": "ReIr2Rh8", "functional": "PBE-GGA", "state": "relaxed", "relative_energy_ev_per_atom": 0.0000, "total_energy_ev_per_atom": -7.898, "crystal_system": "orthorhombic", "lattice_angstrom": [[3.986, -5.137, 0.000], [3.986, 5.137, 0.000], [0.000, 0.000, 4.099]], "species": ["Re", "Ir", "Ir", "Rh", "Rh", "Rh", "Rh", "Rh", "Rh", "Rh", "Rh"], "fractional_positions": [[0.000, 0.000, 0.000], [0.379, 0.621, 0.500], [0.621, 0.379, 0.500], [0.036, 0.295, 0.500], [0.246, 0.754, 0.000], [0.295, 0.036, 0.500], [0.331, 0.331, 0.000], [0.669, 0.669, 0.000], [0.705, 0.964, 0.500], [0.754, 0.246, 0.000], [0.964, 0.705, 0.500]]}

=====

20.
{"formula": "ReIrRh5", "functional": "PBE-GGA", "state": "relaxed", "total_energy_ev_per_atom": -8.019, "crystal_system": "monoclinic", "lattice_angstrom": [[4.345, -2.513, 0.000], [4.345, 2.513, 0.000], [-0.791, 0.000, 9.776]], "species": ["Re", "Re", "Ir", "Ir", "Rh", "Rh", "Rh", "Rh", "Rh", "Rh", "Rh", "Rh", "Rh", "Rh"], "fractional_positions": [[0.242, 0.758, 0.750], [0.758, 0.242, 0.250], [0.500, 0.500, 0.000], [0.500, 0.500, 0.500], [0.139, 0.155, 0.564], [0.155, 0.139, 0.064], [0.244, 0.263, 0.828], [0.263, 0.244, 0.328], [0.267, 0.733, 0.250], [0.733, 0.267, 0.750], [0.737, 0.756, 0.672], [0.756, 0.737, 0.172], [0.845, 0.861, 0.936], [0.861, 0.845, 0.436]]}

=====

no.,total magnetization (μB/atom),N(E_F) (states/eV per cell),formation energy from the elements (eV per atom)
1,0.000,12.90,-0.07
2,0.000,14.85,0.36
3,0.000,14.44,0.46
4,0.000,4.97,-0.04
5,0.000,23.91,0.43
6,0.000,13.30,0.27
7,0.000,9.77,-0.06
8,0.000,4.64,-0.07
9,0.000,5.96,0.29
10,0.000,20.29,0.67
11,0.000,24.49,0.39
12,0.001,4.61,-0.06
13,0.000,21.83,0.27
14,0.000,6.84,-0.09
15,0.000,4.57,0.29
16,0.000,13.30,-0.09
17,0.000,18.50,-0.05
18,0.000,8.57,-0.09
19,0.000,14.40,0.19
20,0.000,18.34,0.28